1.
Material: Li6Ag3Hg
Method: DFT, PBE
State: relaxed

Calculated values
E_form ... -138 meV per atom
Crystal system ... monoclinic
Total DFT energy (no corrections) ... -2.17 eV/atom

Cell: 7.392 6.638 10.258 Å, 90.00 133.05 90.00°
Space group P2_1/c (No. 14)
Symmetry-distinct sites (fractional):
Li 0.038 0.160 0.236
Li 0.220 0.150 0.061
Li 0.398 0.620 0.054
Ag 0.000 0.000 0.500
Ag 0.287 0.682 0.736
Hg 0.500 0.000 0.000

=====

2.
Material: Li9Ag2Hg
Method: DFT, PBE
State: relaxed

Calculated values
E_form ... -175 meV per atom
Crystal system ... tetragonal
Total DFT energy (no corrections) ... -2.11 eV/atom

Cell: 4.090 4.090 12.300 Å, 90.00 90.00 90.00°
Space group P4/mmm (No. 123)
Symmetry-distinct sites (fractional):
Li 0.000 0.000 0.000
Li 0.000 0.000 0.337
Li 0.000 0.500 0.172
Li 0.000 0.500 0.500
Ag 0.500 0.500 0.337
Hg 0.500 0.500 0.000